# MnBeIO2 | the Alexandria database | PBE+U | relaxed
data_MnBeIO2
_chemical_formula_sum 'Mn1 Be1 I1 O2'
_cell_length_a 3.7263
_cell_length_b 3.7263
_cell_length_c 6.4842
_cell_angle_alpha 90.00
_cell_angle_beta 90.00
_cell_angle_gamma 90.00
_symmetry_space_group_name_H-M 'P 4/m m m'
_symmetry_Int_Tables_number 123
_symmetry_space_group_name_Hall '-P 4 2'
loop_
_atom_site_label
_atom_site_fract_x
_atom_site_fract_y
_atom_site_fract_z
_atom_site_occupancy
Mn1 0.0000 0.0000 0.0000 1
Be1 0.5000 0.5000 0.5000 1
I1 0.0000 0.0000 0.5000 1
O1 0.0000 0.5000 0.0000 1
# spin magnetization: 3.4 μB per cell
# VASP energy: -23.95 eV for the cell shown
# mass density: 4.110 g/cm3